[1]
Below is K2YNb5O15 after structural relaxation, with properties calculated at the GGA-PBE level.

Properties
* total energy: -8.43 eV per atom
* space group: Cmmm, No. 65
* mass density: 4.63 g cm⁻³

a b c (Å): 9.2468 9.2468 3.9365
angles (deg): 90.00 90.00 111.87
With the nearest neighbours (Å) after each atom.
Fractional coordinates of all 23 atoms:
K: 0.2002 0.7998 0.0000  7 O 2.84-3.07
K: 0.7998 0.2002 0.0000  7 O 2.84-3.07
Y: 0.5000 0.5000 0.0000  8 O 2.36-2.44
Nb: 0.0000 0.0000 0.5000  6 O 1.97-2.00
Nb: 0.1821 0.4421 0.5000  6 O 1.92-2.09
Nb: 0.4421 0.1821 0.5000  6 O 1.92-2.09
Nb: 0.5579 0.8179 0.5000  6 O 1.92-2.09
Nb: 0.8179 0.5579 0.5000  6 O 1.92-2.09
O: 0.0000 0.0000 0.0000  2 Nb 1.97
O: 0.0000 0.5000 0.5000  2 Nb 1.95
O: 0.0408 0.2279 0.5000  2 Nb 1.92-2.00
O: 0.2226 0.4538 0.0000  2 Nb 2.00
O: 0.2279 0.0408 0.5000  2 Nb 1.92-2.00
O: 0.3335 0.6665 0.5000  2 Nb 2.03
O: 0.3739 0.3739 0.5000  2 Nb 2.09
O: 0.4538 0.2226 0.0000  2 Nb 2.00
O: 0.5000 0.0000 0.5000  2 Nb 1.95
O: 0.5462 0.7774 0.0000  2 Nb 2.00
O: 0.6261 0.6261 0.5000  2 Nb 2.09
O: 0.6665 0.3335 0.5000  2 Nb 2.03
O: 0.7721 0.9592 0.5000  2 Nb 1.92-2.00
O: 0.7774 0.5462 0.0000  2 Nb 2.00
O: 0.9592 0.7721 0.5000  2 Nb 1.92-2.00

***

[2]
Below is K2YNbO6 after structural relaxation, with properties calculated at the GGA-PBE level.

Properties
* total energy: -7.06 eV per atom
* space group: C2/m, No. 12
* mass density: 3.88 g cm⁻³

a b c (Å): 5.9884 5.9884 5.9999
angles (deg): 119.95 119.95 60.02
With the nearest neighbours (Å) after each atom.
Fractional coordinates of all 10 atoms:
K: 0.2500 0.2500 0.2501  12 O 2.92-3.09
K: 0.7500 0.7500 0.7499  12 O 2.92-3.09
Y: 0.0000 0.0000 0.5000  6 O 2.24
Nb: 0.5000 0.5000 0.0000  6 O 2.00
O: 0.2571 0.7284 0.2282  1 Nb 2.00
O: 0.2645 0.2645 0.7507  1 Nb 2.00
O: 0.2716 0.7429 0.7718  1 Nb 2.00
O: 0.7284 0.2571 0.2282  1 Nb 2.00
O: 0.7355 0.7355 0.2493  1 Nb 2.00
O: 0.7429 0.2716 0.7718  1 Nb 2.00

***

[3]
Below is KNbOs after structural relaxation, with properties calculated at the GGA-PBE level.

Properties
* total energy: -5.97 eV per atom
* space group: F-43m, No. 216
* mass density: 7.89 g cm⁻³

a b c (Å): 4.5769 4.5769 4.5769
angles (deg): 60.00 60.00 60.00
With the nearest neighbours (Å) after each atom.
Fractional coordinates of all 3 atoms:
K: 0.0000 0.0000 0.0000  4 Os 2.80
Nb: 0.5000 0.5000 0.5000  4 Os 2.80
Os: 0.2500 0.2500 0.2500  4 Nb 2.80, 4 K 2.80

***

[4]
Below is KNbOs after structural relaxation, with properties calculated at the GGA-PBE level.

Properties
* total energy: -4.52 eV per atom
* space group: F-43m, No. 216
* mass density: 8.38 g cm⁻³

a b c (Å): 4.4872 4.4872 4.4872
angles (deg): 60.00 60.00 60.00
With the nearest neighbours (Å) after each atom.
Fractional coordinates of all 3 atoms:
K: 0.0000 0.0000 0.0000  4 Nb 2.75, 4 Os 2.75
Nb: 0.7500 0.7500 0.7500  4 K 2.75
Os: 0.2500 0.2500 0.2500  4 K 2.75

***

[5]
Below is KNb3P5 after structural relaxation, with properties calculated at the GGA-PBE level.

Properties
* total energy: -6.79 eV per atom
* space group: P6/mmm, No. 191
* mass density: 3.86 g cm⁻³

a b c (Å): 5.6103 5.6103 7.4533
angles (deg): 90.00 90.00 120.00
With the nearest neighbours (Å) after each atom.
Fractional coordinates of all 9 atoms:
K: 0.0000 0.0000 0.0000  14 P 3.68-3.73
Nb: 0.0000 0.5000 0.5000  6 P 2.55-2.81, 4 Nb 2.81
Nb: 0.5000 0.0000 0.5000  6 P 2.55-2.81, 4 Nb 2.81
Nb: 0.5000 0.5000 0.5000  6 P 2.55-2.81, 4 Nb 2.81
P: 0.0000 0.0000 0.5000  6 Nb 2.81
P: 0.3333 0.6667 0.2354  3 Nb 2.55
P: 0.3333 0.6667 0.7646  3 Nb 2.55
P: 0.6667 0.3333 0.2354  3 Nb 2.55
P: 0.6667 0.3333 0.7646  3 Nb 2.55

***

[6]
Below is KNb2PS10 after structural relaxation, with properties calculated at the GGA-PBE level.

Properties
* total energy: -5.57 eV per atom
* space group: Pca2_1, No. 29
* mass density: 2.84 g cm⁻³

a b c (Å): 13.0846 7.6326 13.5246
angles (deg): 90.00 90.00 90.00
With the nearest neighbours (Å) after each atom.
Fractional coordinates of all 56 atoms:
K: 0.1180 0.0037 0.0000  4 S 3.29-3.47
K: 0.3820 0.0037 0.5000  4 S 3.29-3.47
K: 0.6180 0.9963 0.0000  4 S 3.29-3.47
K: 0.8820 0.9963 0.5000  4 S 3.29-3.47
Nb: 0.0240 0.5528 0.2332  8 S 2.49-2.66
Nb: 0.1863 0.5709 0.7340  8 S 2.49-2.65
Nb: 0.3137 0.5709 0.2340  8 S 2.49-2.65
Nb: 0.4760 0.5528 0.7332  8 S 2.49-2.66
Nb: 0.5240 0.4472 0.2332  8 S 2.49-2.66
Nb: 0.6863 0.4291 0.7340  8 S 2.49-2.65
Nb: 0.8137 0.4291 0.2340  8 S 2.49-2.65
Nb: 0.9760 0.4472 0.7332  8 S 2.49-2.66
P: 0.1605 0.8989 0.3094  4 S 1.98-2.10
P: 0.3395 0.8989 0.8094  4 S 1.98-2.10
P: 0.6605 0.1011 0.3094  4 S 1.98-2.10
P: 0.8395 0.1011 0.8094  4 S 1.98-2.10
S: 0.0315 0.8915 0.2207  1 P 2.07
S: 0.0514 0.6315 0.8680  1 S 2.04
S: 0.0556 0.6488 0.6069  1 S 2.03
S: 0.1014 0.3956 0.5977  1 S 2.03
S: 0.1094 0.3829 0.8646  1 S 2.04
S: 0.1516 0.0825 0.4129  1 P 1.98
S: 0.1671 0.6412 0.3636  1 P 2.10
S: 0.1693 0.5523 0.1051  1 S 2.05
S: 0.1738 0.3418 0.1996  1 S 2.05
S: 0.2074 0.9080 0.7267  1 P 2.06
S: 0.2926 0.9080 0.2267  1 P 2.06
S: 0.3262 0.3418 0.6996  1 S 2.05
S: 0.3307 0.5523 0.6051  1 S 2.05
S: 0.3329 0.6412 0.8636  1 P 2.10
S: 0.3484 0.0825 0.9129  1 P 1.98
S: 0.3906 0.3829 0.3646  1 S 2.04
S: 0.3986 0.3956 0.0977  1 S 2.03
S: 0.4444 0.6488 0.1069  1 S 2.03
S: 0.4486 0.6315 0.3680  1 S 2.04
S: 0.4685 0.8915 0.7207  1 P 2.07
S: 0.5315 0.1085 0.2207  1 P 2.07
S: 0.5514 0.3685 0.8680  1 S 2.04
S: 0.5556 0.3512 0.6069  1 S 2.03
S: 0.6014 0.6044 0.5977  1 S 2.03
S: 0.6094 0.6171 0.8646  1 S 2.04
S: 0.6516 0.9175 0.4129  1 P 1.98
S: 0.6671 0.3588 0.3636  1 P 2.10
S: 0.6693 0.4477 0.1051  1 S 2.05
S: 0.6738 0.6582 0.1996  1 S 2.05
S: 0.7074 0.0920 0.7267  1 P 2.06
S: 0.7926 0.0920 0.2267  1 P 2.06
S: 0.8262 0.6582 0.6996  1 S 2.05
S: 0.8307 0.4477 0.6051  1 S 2.05
S: 0.8329 0.3588 0.8636  1 P 2.10
S: 0.8484 0.9175 0.9129  1 P 1.98
S: 0.8906 0.6171 0.3646  1 S 2.04
S: 0.8986 0.6044 0.0977  1 S 2.03
S: 0.9444 0.3512 0.1069  1 S 2.03
S: 0.9486 0.3685 0.3680  1 S 2.04
S: 0.9685 0.1085 0.7207  1 P 2.07